(1)
VASP calculation (GGA-PBE) on Ac5Sm2Rh5 after structural relaxation.

Unit cell a=4.1854 b=7.2917 c=12.7482 alpha=72.10 beta=80.55 gamma=73.32
Fractional positions:
Ac: 0.7399 0.8761 0.6440
Ac: 0.3456 0.2600 0.0487
Ac: 0.5000 0.5000 0.5000
Ac: 0.2601 0.1239 0.3560
Ac: 0.6544 0.7400 0.9513
Rh: 0.8863 0.8068 0.4207
Rh: 0.6855 0.4348 0.1942
Rh: 0.0000 0.0000 0.0000
Rh: 0.1137 0.1932 0.5793
Rh: 0.3145 0.5652 0.8058
Sm: 0.9606 0.2928 0.7860
Sm: 0.0394 0.7072 0.2140

Properties
Fermi-level density of states	6.7	states/eV/cell
space group	C2/m (12)
formation enthalpy at 0 K	-0.622	eV/atom
size of the total moment	0.00	Bohr magnetons per cell
electronic total energy	-6.183	eV per atom

---

(2)
VASP calculation (GGA-PBE) on TeOsPb4 after structural relaxation.

Unit cell a=6.3119 b=6.3119 c=6.3119 alpha=60.00 beta=60.00 gamma=60.00
Last column: magnetic moment on the atom in μB.
Fractional positions:
Te: 0.7500 0.7500 0.7500  0.02
Pb: 0.8773 0.3742 0.3742  -0.03
Pb: 0.3742 0.3742 0.3742  -0.03
Pb: 0.3742 0.3742 0.8773  -0.03
Pb: 0.3742 0.8773 0.3742  -0.03
Os: 0.0000 0.0000 0.0000  2.03

Properties
Fermi-level density of states	4.7	states/eV/cell
space group	F-43m (216)
formation energy without anion corrections	1.04	eV per atom
size of the total moment	2.05	Bohr magnetons per cell
electronic total energy	-3.829	eV per atom

---

(3)
VASP calculation (GGA-PBE) on Li2ReRu after structural relaxation.

Unit cell a=4.1165 b=4.1165 c=4.1165 alpha=60.00 beta=60.00 gamma=60.00
Last column: magnetic moment on the atom in μB.
Fractional positions:
Li: 0.2500 0.2500 0.2500  0.00
Li: 0.7500 0.7500 0.7500  0.00
Ru: 0.0000 0.0000 0.0000  0.26
Re: 0.5000 0.5000 0.5000  0.94

Properties
Fermi-level density of states	4.7	states/eV/cell
space group	Fm-3m (225)
formation enthalpy at 0 K	0.803	eV/atom
size of the total moment	1.33	Bohr magnetons per cell
electronic total energy	-5.585	eV per atom

---

(4)
VASP calculation (GGA-PBE) on Tl2Cd2Au3 after structural relaxation.

Unit cell a=4.4793 b=6.3827 c=6.7533 alpha=78.10 beta=68.76 gamma=69.42
Fractional positions:
Au: 0.0318 0.6168 0.3007
Au: 0.0000 0.0000 0.0000
Au: 0.9682 0.3832 0.6993
Cd: 0.3584 0.2956 0.9879
Cd: 0.6416 0.7044 0.0121
Tl: 0.6923 0.2069 0.4227
Tl: 0.3077 0.7931 0.5773

Properties
Fermi-level density of states	2.4	states/eV/cell
space group	P-1 (2)
formation enthalpy at 0 K	-0.093	eV/atom
size of the total moment	0.00	Bohr magnetons per cell
electronic total energy	-2.435	eV per atom

---

(5)
VASP calculation (GGA-PBE) on Al2OsW after structural relaxation.

Unit cell a=4.6721 b=4.6721 c=4.8134 alpha=77.51 beta=77.51 gamma=35.85
Fractional positions:
Al: 0.0069 0.0069 0.9886
Al: 0.4931 0.4931 0.5114
W: 0.2500 0.2500 0.2500
Os: 0.7500 0.7500 0.7500

Properties
Fermi-level density of states	1.9	states/eV/cell
space group	C2/m (12)
formation enthalpy at 0 K	-0.065	eV/atom
size of the total moment	0.00	Bohr magnetons per cell
electronic total energy	-7.982	eV per atom

---

(6)
VASP calculation (GGA-PBE) on Y5Sc4Al4 after structural relaxation.

Unit cell a=4.7036 b=8.6995 c=8.6995 alpha=85.81 beta=74.32 gamma=74.32
Fractional positions:
Y: 0.3900 0.3047 0.9153
Y: 0.3053 0.0847 0.3047
Y: 0.6100 0.6953 0.0847
Y: 0.6947 0.9153 0.6953
Y: 0.0000 0.0000 0.0000
Sc: 0.4087 0.6917 0.4909
Sc: 0.5913 0.3083 0.5091
Sc: 0.8996 0.5091 0.6917
Sc: 0.1004 0.4909 0.3083
Al: 0.0841 0.1613 0.6705
Al: 0.9159 0.8387 0.3295
Al: 0.2454 0.6705 0.8387
Al: 0.7546 0.3295 0.1613

Properties
Fermi-level density of states	13.5	states/eV/cell
space group	I4/m (87)
formation enthalpy at 0 K	-0.269	eV/atom
size of the total moment	0.00	Bohr magnetons per cell
electronic total energy	-5.854	eV per atom

---

(7)
VASP calculation (GGA-PBE) on CrSn after structural relaxation.

Unit cell a=7.9088 b=7.9088 c=7.9088 alpha=90.00 beta=90.00 gamma=90.00
Fractional positions:
Cr: 0.6001 0.6001 0.6001
Cr: 0.8999 0.8999 0.1001
Cr: 0.8999 0.1001 0.8999
Cr: 0.3999 0.3999 0.6001
Cr: 0.6001 0.3999 0.3999
Cr: 0.3999 0.6001 0.3999
Cr: 0.1001 0.8999 0.8999
Cr: 0.1001 0.1001 0.1001
Sn: 0.2903 0.2903 0.2903
Sn: 0.7903 0.2097 0.2097
Sn: 0.2903 0.7097 0.7097
Sn: 0.2097 0.7903 0.2097
Sn: 0.7097 0.2903 0.7097
Sn: 0.7903 0.7903 0.7903
Sn: 0.2097 0.2097 0.7903
Sn: 0.7097 0.7097 0.2903

Properties
Fermi-level density of states	10.5	states/eV/cell
space group	I-43m (217)
formation enthalpy at 0 K	0.814	eV/atom
size of the total moment	0.00	Bohr magnetons per cell
electronic total energy	-5.999	eV per atom

---

(8)
VASP calculation (GGA-PBE) on ZnTeP after structural relaxation.

Unit cell a=3.8591 b=3.8591 c=4.8339 alpha=90.00 beta=90.00 gamma=120.00
Fractional positions:
Te: 0.6667 0.3333 0.3399
P: 0.0000 0.0000 0.9468
Zn: 0.3333 0.6667 0.7134

Properties
Fermi-level density of states	0.9	states/eV/cell
space group	P3m1 (156)
formation energy without anion corrections	0.17	eV per atom
size of the total moment	0.00	Bohr magnetons per cell
electronic total energy	-3.107	eV per atom